4
Lattice="3.814 -1.789 0.000 3.814 1.789 0.000 -1.331 0.000 4.513" Properties=species:S:1:pos:R:3 comment="SiAsIr2 | the Alexandria database | PBEsol | optimized geometry" e_above_lowest_polymorph_ev_per_atom=0.004 dft_energy_ev_per_cell=-31.47 m_tot_mub_per_cell=0.000 e_form_raw_ev_per_atom=-0.2432 pbc="T T T"
Si 0.000 0.000 0.000
As 0.812 0.000 2.505
Ir 3.044 0.000 1.432
Ir 4.023 0.000 4.166